1.
# NdHoTm2In4 | Alexandria via LeMat-Bulk | PBE | relaxed
data_NdHoTm2In4
_chemical_formula_sum 'Nd3 Ho3 Tm6 In12'
_cell_length_a 5.3221
_cell_length_b 5.3221
_cell_length_c 26.1689
_cell_angle_alpha 90.00
_cell_angle_beta 90.00
_cell_angle_gamma 120.00
_space_group_name_H-M_alt 'R -3 m'
_space_group_IT_number 166
_space_group_name_Hall '-R 3 2"'
loop_
_atom_site_label
_atom_site_fract_x
_atom_site_fract_y
_atom_site_fract_z
_atom_site_occupancy
Nd1 0.0000 0.0000 0.0000 1
Ho1 0.0000 0.0000 0.5000 1
Tm1 0.0000 0.0000 0.2496 1
In1 0.0000 0.0000 0.1265 1
In2 0.0000 0.0000 0.3767 1
# **Formation enthalpy at 0 K**: -445 meV/atom
# **Electronic total energy**: -4.10 eV per atom
# **V**: 641.9 Å³/cell

***

2.
# Nd2Y6Ho3In | Alexandria via LeMat-Bulk | PBE | relaxed
data_Nd2Y6Ho3In
_chemical_formula_sum 'Nd4 Y12 Ho6 In2'
_cell_length_a 6.121
_cell_length_b 10.607
_cell_length_c 11.747
_cell_angle_alpha 90.00
_cell_angle_beta 100.03
_cell_angle_gamma 90.00
_space_group_name_H-M_alt 'C 1 2/m 1'
_space_group_IT_number 12
loop_
_space_group_symop_operation_xyz
'x,y,z'
'-x,-y,-z'
'-x,y,-z'
'x,-y,z'
'x+1/2,y+1/2,z'
'-x+1/2,-y+1/2,-z'
'-x+1/2,y+1/2,-z'
'x+1/2,-y+1/2,z'
loop_
_atom_site_label
_atom_site_fract_x
_atom_site_fract_y
_atom_site_fract_z
_atom_site_occupancy
Nd1 0.000 0.166 0.000 1
Y1 0.244 0.500 0.750 1
Y2 0.246 0.337 0.250 1
Ho1 0.000 0.000 0.500 1
Ho2 0.000 0.334 0.500 1
In1 0.000 0.500 0.000 1
# **Formation enthalpy at 0 K**: -54 meV/atom
# **Electronic total energy**: -5.45 eV per atom
# **V**: 751.0 Å³/cell

***

Repeat the second record exactly.
# Nd2Y6Ho3In | Alexandria via LeMat-Bulk | PBE | relaxed
data_Nd2Y6Ho3In
_chemical_formula_sum 'Nd4 Y12 Ho6 In2'
_cell_length_a 6.121
_cell_length_b 10.607
_cell_length_c 11.747
_cell_angle_alpha 90.00
_cell_angle_beta 100.03
_cell_angle_gamma 90.00
_space_group_name_H-M_alt 'C 1 2/m 1'
_space_group_IT_number 12
loop_
_space_group_symop_operation_xyz
'x,y,z'
'-x,-y,-z'
'-x,y,-z'
'x,-y,z'
'x+1/2,y+1/2,z'
'-x+1/2,-y+1/2,-z'
'-x+1/2,y+1/2,-z'
'x+1/2,-y+1/2,z'
loop_
_atom_site_label
_atom_site_fract_x
_atom_site_fract_y
_atom_site_fract_z
_atom_site_occupancy
Nd1 0.000 0.166 0.000 1
Y1 0.244 0.500 0.750 1
Y2 0.246 0.337 0.250 1
Ho1 0.000 0.000 0.500 1
Ho2 0.000 0.334 0.500 1
In1 0.000 0.500 0.000 1
# **Formation enthalpy at 0 K**: -54 meV/atom
# **Electronic total energy**: -5.45 eV per atom
# **V**: 751.0 Å³/cell